1.
The following is a DFT calculation (GGA-PBE) of LaNd2Tl3AgPd2 after structural relaxation.

The calculated volume comes out at 24.7 Å³ per atom. For the raw total energy, the calculation gives -4.42 eV per atom.

It has space group Amm2 (No. 38), with a = 4.011 Å, b = 13.845 Å, c = 8.016 Å, α = 90.00°, β = 90.00° and γ = 90.00°. The inequivalent atoms are La at (0.000, 0.000, 0.000), Nd at (0.000, 0.205, 0.619), Tl at (0.500, 0.000, 0.674), Tl at (0.500, 0.134, 0.282), Ag at (0.000, 0.000, 0.412) and Pd at (0.500, 0.166, 0.914).

***

2.
The following is a DFT calculation (GGA-PBE) of LaNd2Ag5S6 after structural relaxation.

The calculated volume comes out at 23.2 Å³ per atom. For the raw total energy, the calculation gives -4.84 eV per atom.

It has space group C2/m (No. 12), with a = 13.669 Å, b = 3.923 Å, c = 12.304 Å, α = 90.00°, β = 100.57° and γ = 90.00°. The inequivalent atoms are La at (0.000, 0.000, 0.000), Nd at (0.213, 0.500, 0.812), Ag at (0.000, 0.500, 0.500), Ag at (0.054, 0.500, 0.293), Ag at (0.143, 0.000, 0.468), S at (0.059, 0.000, 0.793), S at (0.157, 0.500, 0.050) and S at (0.240, 0.500, 0.341).

***

3.
The following is a DFT calculation (GGA-PBE) of LaNdSi4Ag2 after structural relaxation.

The calculated volume comes out at 20.0 Å³ per atom. For the raw total energy, the calculation gives -5.16 eV per atom.

It has space group Amm2 (No. 38), with a = 4.256 Å, b = 4.263 Å, c = 17.664 Å, α = 90.00°, β = 90.00° and γ = 90.00°. The inequivalent atoms are La at (0.000, 0.000, 0.000), Nd at (0.500, 0.000, 0.806), Si at (0.000, 0.000, 0.239), Si at (0.000, 0.000, 0.370), Si at (0.500, 0.000, 0.435), Si at (0.500, 0.000, 0.567), Ag at (0.000, 0.000, 0.655) and Ag at (0.500, 0.000, 0.152).

***

4.
The following is a DFT calculation (GGA-PBE) of LaNdSi3Ag after structural relaxation.

The calculated volume comes out at 21.9 Å³ per atom. For the raw total energy, the calculation gives -5.47 eV per atom. The calculation puts the energy above the most stable polymorph in this dataset at 0.00 eV per formula unit.

It has space group Fmmm (No. 69), with a = 8.393 Å, b = 8.652 Å, c = 14.467 Å, α = 90.00°, β = 90.00° and γ = 90.00°. The inequivalent atoms are La at (0.000, 0.243, 0.000), Nd at (0.250, 0.250, 0.250), Si at (0.000, 0.000, 0.164), Si at (0.245, 0.000, 0.082) and Ag at (0.000, 0.000, 0.334).

***

5.
The following is a DFT calculation (GGA-PBE) of La2NdZn2Si4Ag2 after structural relaxation.

The calculated volume comes out at 21.1 Å³ per atom. For the raw total energy, the calculation gives -4.58 eV per atom.

It has space group Immm (No. 71), with a = 4.217 Å, b = 4.328 Å, c = 25.403 Å, α = 90.00°, β = 90.00° and γ = 90.00°. The inequivalent atoms are La at (0.000, 0.000, 0.149), Nd at (0.000, 0.500, 0.000), Zn at (0.000, 0.500, 0.250), Si at (0.000, 0.000, 0.306), Si at (0.000, 0.500, 0.454) and Ag at (0.000, 0.000, 0.405).

***

6.
The following is a DFT calculation (GGA-PBE) of LaNdAg4Sn2 after structural relaxation.

The calculated volume comes out at 23.8 Å³ per atom. For the raw total energy, the calculation gives -4.03 eV per atom.

It has space group P-6m2 (No. 187), with a = 4.8145 Å, b = 4.8145 Å, c = 9.4997 Å, α = 90.00°, β = 90.00° and γ = 120.00°. The inequivalent atoms are La at (0.0000, 0.0000, 0.0000), Nd at (0.3333, 0.6667, 0.5000), Ag at (0.0000, 0.0000, 0.3472), Ag at (0.3333, 0.6667, 0.1571) and Sn at (0.6667, 0.3333, 0.2525).